i.
# TbDy7Tm2 GGA-PBE optimized geometry
# DOS at the Fermi energy in states/eV per cell: 28.690
# Calculated volume in Å³ per atom: 38.54
data_TbDy7Tm2
_symmetry_space_group_name_H-M 'C m m m'
_symmetry_Int_Tables_number 65
_symmetry_space_group_name_Hall '-C 2 2'
_cell_length_a 8.6764
_cell_length_b 16.4567
_cell_length_c 5.3979
_cell_angle_alpha 90.00
_cell_angle_beta 90.00
_cell_angle_gamma 90.00
loop_
_atom_site_label
_atom_site_type_symbol
_atom_site_fract_x
_atom_site_fract_y
_atom_site_fract_z
Tb1 Tb 0.0000 0.0000 0.0000
Dy1 Dy 0.0000 0.2057 0.0000
Dy2 Dy 0.0000 0.5000 0.5000
Dy3 Dy 0.1778 0.1125 0.5000
Tm1 Tm 0.0000 0.2973 0.5000

ii.
# TbDy7Tm2 GGA-PBE optimized geometry
# DOS at the Fermi energy in states/eV per cell: 34.284
# Calculated volume in Å³ per atom: 31.20
data_TbDy7Tm2
_symmetry_space_group_name_H-M 'I m m m'
_symmetry_Int_Tables_number 71
_symmetry_space_group_name_Hall '-I 2 2'
_cell_length_a 5.3970
_cell_length_b 6.9680
_cell_length_c 16.5955
_cell_angle_alpha 90.00
_cell_angle_beta 90.00
_cell_angle_gamma 90.00
loop_
_atom_site_label
_atom_site_type_symbol
_atom_site_fract_x
_atom_site_fract_y
_atom_site_fract_z
Tb1 Tb 0.0000 0.0000 0.0000
Dy1 Dy 0.0000 0.0000 0.1996
Dy2 Dy 0.0000 0.2494 0.3900
Dy3 Dy 0.0000 0.5000 0.0000
Tm1 Tm 0.0000 0.5000 0.1993

The structure with the least stability is i.

i.
# Tb3Dy6Tm2 GGA-PBE optimized geometry
# DOS at the Fermi energy in states/eV per cell: 44.099
# Calculated volume in Å³ per atom: 31.05
data_Tb3Dy6Tm2
_symmetry_space_group_name_H-M 'R -3 m'
_symmetry_Int_Tables_number 166
_symmetry_space_group_name_Hall '-R 3 2"'
_cell_length_a 3.5319
_cell_length_b 3.5319
_cell_length_c 94.8382
_cell_angle_alpha 90.00
_cell_angle_beta 90.00
_cell_angle_gamma 120.00
loop_
_atom_site_label
_atom_site_type_symbol
_atom_site_fract_x
_atom_site_fract_y
_atom_site_fract_z
Tb1 Tb 0.0000 0.0000 0.0000
Tb2 Tb 0.0000 0.0000 0.2724
Dy1 Dy 0.0000 0.0000 0.0915
Dy2 Dy 0.0000 0.0000 0.1819
Dy3 Dy 0.0000 0.0000 0.3638
Tm1 Tm 0.0000 0.0000 0.4548

ii.
# Tb3Dy6Tm2 GGA-PBE optimized geometry
# DOS at the Fermi energy in states/eV per cell: 33.998
# Calculated volume in Å³ per atom: 33.05
data_Tb3Dy6Tm2
_symmetry_space_group_name_H-M 'I 4/m m m'
_symmetry_Int_Tables_number 139
_symmetry_space_group_name_Hall '-I 4 2'
_cell_length_a 4.6964
_cell_length_b 4.6964
_cell_length_c 32.9673
_cell_angle_alpha 90.00
_cell_angle_beta 90.00
_cell_angle_gamma 90.00
loop_
_atom_site_label
_atom_site_type_symbol
_atom_site_fract_x
_atom_site_fract_y
_atom_site_fract_z
Tb1 Tb 0.0000 0.0000 0.0000
Tb2 Tb 0.0000 0.0000 0.2001
Dy1 Dy 0.0000 0.0000 0.3038
Dy2 Dy 0.0000 0.5000 0.1205
Tm1 Tm 0.0000 0.0000 0.4541

The structure with the least stability is ii.

i.
# TbDy6Tm3 GGA-PBE optimized geometry
# DOS at the Fermi energy in states/eV per cell: 60.372
# Calculated volume in Å³ per atom: 31.34
data_TbDy6Tm3
_symmetry_space_group_name_H-M 'C m c 21'
_symmetry_Int_Tables_number 36
_cell_length_a 9.5718
_cell_length_b 20.7354
_cell_length_c 6.3153
_cell_angle_alpha 90.00
_cell_angle_beta 90.00
_cell_angle_gamma 90.00
loop_
_symmetry_equiv_pos_as_xyz
'x,y,z'
'-x,-y,z+1/2'
'-x,y,z'
'x,-y,z+1/2'
'x+1/2,y+1/2,z'
'-x+1/2,-y+1/2,z+1/2'
'-x+1/2,y+1/2,z'
'x+1/2,-y+1/2,z+1/2'
loop_
_atom_site_label
_atom_site_type_symbol
_atom_site_fract_x
_atom_site_fract_y
_atom_site_fract_z
Tb1 Tb 0.0000 0.1611 0.0000
Dy1 Dy 0.0000 0.0155 0.1960
Dy2 Dy 0.0000 0.3009 0.2274
Dy3 Dy 0.1763 0.2808 0.6865
Dy4 Dy 0.1808 0.4406 0.4431
Tm1 Tm 0.0000 0.4186 0.9191
Tm2 Tm 0.1690 0.1259 0.5248

ii.
# TbDy6Tm3 GGA-PBE optimized geometry
# DOS at the Fermi energy in states/eV per cell: 55.596
# Calculated volume in Å³ per atom: 31.47
data_TbDy6Tm3
_symmetry_space_group_name_H-M 'C m c 21'
_symmetry_Int_Tables_number 36
_cell_length_a 10.9056
_cell_length_b 18.8106
_cell_length_c 6.1359
_cell_angle_alpha 90.00
_cell_angle_beta 90.00
_cell_angle_gamma 90.00
loop_
_symmetry_equiv_pos_as_xyz
'x,y,z'
'-x,-y,z+1/2'
'-x,y,z'
'x,-y,z+1/2'
'x+1/2,y+1/2,z'
'-x+1/2,-y+1/2,z+1/2'
'-x+1/2,y+1/2,z'
'x+1/2,-y+1/2,z+1/2'
loop_
_atom_site_label
_atom_site_type_symbol
_atom_site_fract_x
_atom_site_fract_y
_atom_site_fract_z
Tb1 Tb 0.0000 0.2065 0.0000
Dy1 Dy 0.0000 0.0472 0.7689
Dy2 Dy 0.0000 0.2828 0.4969
Dy3 Dy 0.1647 0.4545 0.3857
Dy4 Dy 0.2472 0.2903 0.2119
Tm1 Tm 0.0000 0.3893 0.9249
Tm2 Tm 0.1710 0.1091 0.3074

The structure with the least stability is ii.

i.
# Tb8DyTm6 GGA-PBE optimized geometry
# DOS at the Fermi energy in states/eV per cell: 70.710
# Calculated volume in Å³ per atom: 31.50
data_Tb8DyTm6
_symmetry_space_group_name_H-M 'R -3'
_symmetry_Int_Tables_number 148
_symmetry_space_group_name_Hall '-R 3'
_cell_length_a 8.9429
_cell_length_b 8.9429
_cell_length_c 20.4633
_cell_angle_alpha 90.00
_cell_angle_beta 90.00
_cell_angle_gamma 120.00
loop_
_atom_site_label
_atom_site_type_symbol
_atom_site_fract_x
_atom_site_fract_y
_atom_site_fract_z
Tb1 Tb 0.0000 0.0000 0.0769
Tb2 Tb 0.0815 0.5277 0.3080
Dy1 Dy 0.0000 0.0000 0.5000
Tm1 Tm 0.0564 0.8106 0.2062

ii.
# Tb8DyTm6 GGA-PBE optimized geometry
# DOS at the Fermi energy in states/eV per cell: 22.398
# Calculated volume in Å³ per atom: 31.53
data_Tb8DyTm6
_symmetry_space_group_name_H-M 'P -3'
_symmetry_Int_Tables_number 147
_cell_length_a 9.7369
_cell_length_b 9.7369
_cell_length_c 5.7603
_cell_angle_alpha 90.00
_cell_angle_beta 90.00
_cell_angle_gamma 120.00
loop_
_symmetry_equiv_pos_as_xyz
'x,y,z'
'-x,-y,-z'
'-y,x-y,z'
'y,-x+y,-z'
'-x+y,-x,z'
'x-y,x,-z'
loop_
_atom_site_label
_atom_site_type_symbol
_atom_site_fract_x
_atom_site_fract_y
_atom_site_fract_z
Tb1 Tb 0.0910 0.4658 0.2338
Tb2 Tb 0.3333 0.6667 0.7234
Dy1 Dy 0.0000 0.0000 0.0000
Tm1 Tm 0.0495 0.2731 0.7200

The structure with the least stability is ii.

i.
# Tb2Dy8Tm GGA-PBE optimized geometry
# DOS at the Fermi energy in states/eV per cell: 26.880
# Calculated volume in Å³ per atom: 31.52
data_Tb2Dy8Tm
_symmetry_space_group_name_H-M 'C 1 2/m 1'
_symmetry_Int_Tables_number 12
_cell_length_a 17.1170
_cell_length_b 6.7043
_cell_length_c 6.4239
_cell_angle_alpha 90.00
_cell_angle_beta 109.84
_cell_angle_gamma 90.00
loop_
_symmetry_equiv_pos_as_xyz
'x,y,z'
'-x,-y,-z'
'-x,y,-z'
'x,-y,z'
'x+1/2,y+1/2,z'
'-x+1/2,-y+1/2,-z'
'-x+1/2,y+1/2,-z'
'x+1/2,-y+1/2,z'
loop_
_atom_site_label
_atom_site_type_symbol
_atom_site_fract_x
_atom_site_fract_y
_atom_site_fract_z
Tb1 Tb 0.2167 0.0000 0.1095
Dy1 Dy 0.0587 0.0000 0.2486
Dy2 Dy 0.1023 0.2635 0.6905
Dy3 Dy 0.2087 0.5000 0.3231
Tm1 Tm 0.0000 0.5000 0.0000

ii.
# Tb2Dy8Tm GGA-PBE optimized geometry
# DOS at the Fermi energy in states/eV per cell: 33.190
# Calculated volume in Å³ per atom: 31.96
data_Tb2Dy8Tm
_symmetry_space_group_name_H-M 'C 1 2/m 1'
_symmetry_Int_Tables_number 12
_cell_length_a 16.3847
_cell_length_b 6.6118
_cell_length_c 6.6016
_cell_angle_alpha 90.00
_cell_angle_beta 100.50
_cell_angle_gamma 90.00
loop_
_symmetry_equiv_pos_as_xyz
'x,y,z'
'-x,-y,-z'
'-x,y,-z'
'x,-y,z'
'x+1/2,y+1/2,z'
'-x+1/2,-y+1/2,-z'
'-x+1/2,y+1/2,-z'
'x+1/2,-y+1/2,z'
loop_
_atom_site_label
_atom_site_type_symbol
_atom_site_fract_x
_atom_site_fract_y
_atom_site_fract_z
Tb1 Tb 0.1992 0.0000 0.2999
Dy1 Dy 0.0877 0.2623 0.9029
Dy2 Dy 0.0896 0.5000 0.4074
Dy3 Dy 0.2438 0.0000 0.8104
Tm1 Tm 0.0000 0.0000 0.5000

The structure with the least stability is i.

i.
# Tb4Dy3Tm2 GGA-PBE optimized geometry
# DOS at the Fermi energy in states/eV per cell: 46.777
# Calculated volume in Å³ per atom: 31.64
data_Tb4Dy3Tm2
_symmetry_space_group_name_H-M 'C 1 2/c 1'
_symmetry_Int_Tables_number 15
_cell_length_a 16.9670
_cell_length_b 9.9454
_cell_length_c 6.7570
_cell_angle_alpha 90.00
_cell_angle_beta 92.62
_cell_angle_gamma 90.00
loop_
_symmetry_equiv_pos_as_xyz
'x,y,z'
'-x,-y,-z'
'-x,y,-z+1/2'
'x,-y,z+1/2'
'x+1/2,y+1/2,z'
'-x+1/2,-y+1/2,-z'
'-x+1/2,y+1/2,-z+1/2'
'x+1/2,-y+1/2,z+1/2'
loop_
_atom_site_label
_atom_site_type_symbol
_atom_site_fract_x
_atom_site_fract_y
_atom_site_fract_z
Tb1 Tb 0.0187 0.1766 0.0137
Tb2 Tb 0.1888 0.3736 0.9127
Dy1 Dy 0.0000 0.4846 0.7500
Dy2 Dy 0.1539 0.0432 0.7434
Tm1 Tm 0.1619 0.2922 0.3975

ii.
# Tb4Dy3Tm2 GGA-PBE optimized geometry
# DOS at the Fermi energy in states/eV per cell: 50.649
# Calculated volume in Å³ per atom: 31.11
data_Tb4Dy3Tm2
_symmetry_space_group_name_H-M 'C 1 2/c 1'
_symmetry_Int_Tables_number 15
_cell_length_a 16.5231
_cell_length_b 11.4987
_cell_length_c 5.9396
_cell_angle_alpha 90.00
_cell_angle_beta 97.01
_cell_angle_gamma 90.00
loop_
_symmetry_equiv_pos_as_xyz
'x,y,z'
'-x,-y,-z'
'-x,y,-z+1/2'
'x,-y,z+1/2'
'x+1/2,y+1/2,z'
'-x+1/2,-y+1/2,-z'
'-x+1/2,y+1/2,-z+1/2'
'x+1/2,-y+1/2,z+1/2'
loop_
_atom_site_label
_atom_site_type_symbol
_atom_site_fract_x
_atom_site_fract_y
_atom_site_fract_z
Tb1 Tb 0.0640 0.1101 0.0484
Tb2 Tb 0.2280 0.3907 0.8842
Dy1 Dy 0.0000 0.3474 0.7500
Dy2 Dy 0.1680 0.1528 0.5822
Tm1 Tm 0.1025 0.3924 0.2914

The structure with the least stability is ii.

i.
# TbDy4Tm GGA-PBE optimized geometry
# DOS at the Fermi energy in states/eV per cell: 38.705
# Calculated volume in Å³ per atom: 31.84
data_TbDy4Tm
_symmetry_space_group_name_H-M 'C 1 2/c 1'
_symmetry_Int_Tables_number 15
_cell_length_a 8.7426
_cell_length_b 14.7081
_cell_length_c 6.3965
_cell_angle_alpha 90.00
_cell_angle_beta 111.70
_cell_angle_gamma 90.00
loop_
_symmetry_equiv_pos_as_xyz
'x,y,z'
'-x,-y,-z'
'-x,y,-z+1/2'
'x,-y,z+1/2'
'x+1/2,y+1/2,z'
'-x+1/2,-y+1/2,-z'
'-x+1/2,y+1/2,-z+1/2'
'x+1/2,-y+1/2,z+1/2'
loop_
_atom_site_label
_atom_site_type_symbol
_atom_site_fract_x
_atom_site_fract_y
_atom_site_fract_z
Tb1 Tb 0.0000 0.0854 0.2500
Dy1 Dy 0.0917 0.3024 0.5406
Dy2 Dy 0.2027 0.1253 0.8810
Tm1 Tm 0.0000 0.4966 0.2500

ii.
# TbDy4Tm GGA-PBE optimized geometry
# DOS at the Fermi energy in states/eV per cell: 38.126
# Calculated volume in Å³ per atom: 32.68
data_TbDy4Tm
_symmetry_space_group_name_H-M 'F -4 3 m'
_symmetry_Int_Tables_number 216
_symmetry_space_group_name_Hall 'F -4 2 3'
_cell_length_a 9.2223
_cell_length_b 9.2223
_cell_length_c 9.2223
_cell_angle_alpha 90.00
_cell_angle_beta 90.00
_cell_angle_gamma 90.00
loop_
_atom_site_label
_atom_site_type_symbol
_atom_site_fract_x
_atom_site_fract_y
_atom_site_fract_z
Tb1 Tb 0.0000 0.0000 0.0000
Dy1 Dy 0.1249 0.1249 0.3751
Tm1 Tm 0.2500 0.2500 0.7500

iii.
# TbDy4Tm GGA-PBE optimized geometry
# DOS at the Fermi energy in states/eV per cell: 8.263
# Calculated volume in Å³ per atom: 31.06
data_TbDy4Tm
_symmetry_space_group_name_H-M 'P -1'
_symmetry_Int_Tables_number 2
_cell_length_a 3.5213
_cell_length_b 6.1140
_cell_length_c 9.3400
_cell_angle_alpha 77.30
_cell_angle_beta 79.25
_cell_angle_gamma 73.41
loop_
_symmetry_equiv_pos_as_xyz
'x,y,z'
'-x,-y,-z'
loop_
_atom_site_label
_atom_site_type_symbol
_atom_site_fract_x
_atom_site_fract_y
_atom_site_fract_z
Tb1 Tb 0.0000 0.0000 0.0000
Dy1 Dy 0.3334 0.9990 0.3344
Dy2 Dy 0.3337 0.5006 0.8321
Tm1 Tm 0.0000 0.5000 0.5000

The structure with the least stability is ii.

i.
# Tb3Dy2Tm2 GGA-PBE optimized geometry
# DOS at the Fermi energy in states/eV per cell: 21.726
# Calculated volume in Å³ per atom: 31.61
data_Tb3Dy2Tm2
_symmetry_space_group_name_H-M 'C 1 2/m 1'
_symmetry_Int_Tables_number 12
_cell_length_a 17.2751
_cell_length_b 3.4765
_cell_length_c 8.4326
_cell_angle_alpha 90.00
_cell_angle_beta 119.08
_cell_angle_gamma 90.00
loop_
_symmetry_equiv_pos_as_xyz
'x,y,z'
'-x,-y,-z'
'-x,y,-z'
'x,-y,z'
'x+1/2,y+1/2,z'
'-x+1/2,-y+1/2,-z'
'-x+1/2,y+1/2,-z'
'x+1/2,-y+1/2,z'
loop_
_atom_site_label
_atom_site_type_symbol
_atom_site_fract_x
_atom_site_fract_y
_atom_site_fract_z
Tb1 Tb 0.0000 0.0000 0.0000
Tb2 Tb 0.2120 0.0000 0.2993
Dy1 Dy 0.0655 0.5000 0.4103
Tm1 Tm 0.1469 0.0000 0.8263

ii.
# Tb3Dy2Tm2 GGA-PBE optimized geometry
# DOS at the Fermi energy in states/eV per cell: 17.608
# Calculated volume in Å³ per atom: 31.01
data_Tb3Dy2Tm2
_symmetry_space_group_name_H-M 'C 1 2/m 1'
_symmetry_Int_Tables_number 12
_cell_length_a 11.6898
_cell_length_b 3.5233
_cell_length_c 10.5977
_cell_angle_alpha 90.00
_cell_angle_beta 95.89
_cell_angle_gamma 90.00
loop_
_symmetry_equiv_pos_as_xyz
'x,y,z'
'-x,-y,-z'
'-x,y,-z'
'x,-y,z'
'x+1/2,y+1/2,z'
'-x+1/2,-y+1/2,-z'
'-x+1/2,y+1/2,-z'
'x+1/2,-y+1/2,z'
loop_
_atom_site_label
_atom_site_type_symbol
_atom_site_fract_x
_atom_site_fract_y
_atom_site_fract_z
Tb1 Tb 0.0000 0.0000 0.0000
Tb2 Tb 0.1427 0.0000 0.5710
Dy1 Dy 0.2147 0.5000 0.8572
Tm1 Tm 0.0713 0.5000 0.2859

The structure with the least stability is i.

i.
# Tb7Dy3Tm GGA-PBE optimized geometry
# DOS at the Fermi energy in states/eV per cell: 16.564
# Calculated volume in Å³ per atom: 32.22
data_Tb7Dy3Tm
_symmetry_space_group_name_H-M 'P 1 2/m 1'
_symmetry_Int_Tables_number 10
_cell_length_a 6.9479
_cell_length_b 5.5143
_cell_length_c 9.8665
_cell_angle_alpha 90.00
_cell_angle_beta 110.37
_cell_angle_gamma 90.00
loop_
_symmetry_equiv_pos_as_xyz
'x,y,z'
'-x,-y,-z'
'-x,y,-z'
'x,-y,z'
loop_
_atom_site_label
_atom_site_type_symbol
_atom_site_fract_x
_atom_site_fract_y
_atom_site_fract_z
Tb1 Tb 0.0000 0.0000 0.0000
Tb2 Tb 0.1456 0.5000 0.2913
Tb3 Tb 0.3218 0.5000 0.6399
Tb4 Tb 0.4163 0.0000 0.8295
Dy1 Dy 0.0000 0.0000 0.5000
Dy2 Dy 0.2798 0.5000 0.9993
Tm1 Tm 0.5000 0.0000 0.5000

ii.
# Tb7Dy3Tm GGA-PBE optimized geometry
# DOS at the Fermi energy in states/eV per cell: 32.098
# Calculated volume in Å³ per atom: 32.57
data_Tb7Dy3Tm
_symmetry_space_group_name_H-M 'C 1 2/m 1'
_symmetry_Int_Tables_number 12
_cell_length_a 12.5498
_cell_length_b 11.1147
_cell_length_c 5.7857
_cell_angle_alpha 90.00
_cell_angle_beta 117.38
_cell_angle_gamma 90.00
loop_
_symmetry_equiv_pos_as_xyz
'x,y,z'
'-x,-y,-z'
'-x,y,-z'
'x,-y,z'
'x+1/2,y+1/2,z'
'-x+1/2,-y+1/2,-z'
'-x+1/2,y+1/2,-z'
'x+1/2,-y+1/2,z'
loop_
_atom_site_label
_atom_site_type_symbol
_atom_site_fract_x
_atom_site_fract_y
_atom_site_fract_z
Tb1 Tb 0.0000 0.0000 0.0000
Tb2 Tb 0.1958 0.2942 0.6955
Tb3 Tb 0.2088 0.5000 0.2070
Dy1 Dy 0.0000 0.2930 0.0000
Dy2 Dy 0.0000 0.5000 0.5000
Tm1 Tm 0.0000 0.0000 0.5000

The structure with the least stability is ii.